--- a ---
This record from Alexandria describes an optimized crystal structure of K2GeAs2. The functional is PBE.

Cell lengths 8.324, 8.324, 8.324 Å; angles 129.58, 71.55, 132.78 degrees
Fractional positions:
K 0.142 0.165 0.307
K 0.358 0.665 0.023
K 0.642 0.335 0.977
K 0.858 0.835 0.693
Ge 0.250 0.750 0.500
Ge 0.750 0.250 0.500
As 0.104 0.671 0.775
As 0.396 0.171 0.567
As 0.604 0.829 0.433
As 0.896 0.329 0.225

--- b ---
This record from Alexandria describes an optimized crystal structure of K2GeAs2. The functional is PBE.

Cell lengths 8.043, 8.043, 10.951 Å; angles 127.75, 127.75, 47.92 degrees
Fractional positions:
K 0.097 0.097 0.328
K 0.321 0.321 0.962
K 0.679 0.679 0.038
K 0.903 0.903 0.672
Ge 0.365 0.365 0.332
Ge 0.635 0.635 0.668
As 0.163 0.163 0.092
As 0.442 0.442 0.610
As 0.558 0.558 0.390
As 0.837 0.837 0.908

Energies relative to the most stable structure are a 0.0; b 10.1, reported in kJ/mol of atoms.

--- a ---
This record from Alexandria describes an optimized crystal structure of K3GeAs. The functional is PBE.

Cell lengths 5.366, 10.408, 8.259 Å; angles 90.00, 108.64, 90.00 degrees
Fractional positions:
K 0.084 0.250 0.163
K 0.336 0.060 0.676
K 0.336 0.440 0.676
K 0.664 0.560 0.324
K 0.664 0.940 0.324
K 0.916 0.750 0.837
Ge 0.132 0.750 0.257
Ge 0.868 0.250 0.743
As 0.280 0.750 0.560
As 0.720 0.250 0.440

--- b ---
This record from Alexandria describes an optimized crystal structure of K3GeAs. The functional is PBE.

Cell lengths 6.344, 6.344, 6.344 Å; angles 90.00, 90.00, 90.00 degrees
Fractional positions:
K 0.000 0.000 0.500
K 0.000 0.500 0.000
K 0.500 0.000 0.000
Ge 0.500 0.500 0.500
As 0.000 0.000 0.000

Energies relative to the most stable structure are a 0.0; b 44.9, reported in kJ/mol of atoms.

--- a ---
This record from Alexandria describes an optimized crystal structure of KGe3As. The functional is PBE.

Cell lengths 5.232, 5.232, 5.232 Å; angles 90.00, 90.00, 90.00 degrees
Fractional positions:
K 0.000 0.000 0.000
Ge 0.000 0.500 0.500
Ge 0.500 0.000 0.500
Ge 0.500 0.500 0.000
As 0.500 0.500 0.500

--- b ---
This record from Alexandria describes an optimized crystal structure of KGe3As. The functional is PBE.

Cell lengths 5.432, 5.432, 5.432 Å; angles 90.00, 90.00, 90.00 degrees
Fractional positions:
K 0.000 0.000 0.000
Ge 0.000 0.000 0.500
Ge 0.000 0.500 0.000
Ge 0.500 0.000 0.000
As 0.500 0.500 0.500

Energies relative to the most stable structure are a 0.0; b 120.6, reported in kJ/mol of atoms.

--- a ---
This record from Alexandria describes an optimized crystal structure of KGeAs3. The functional is PBE.

Cell lengths 5.356, 5.356, 5.356 Å; angles 90.00, 90.00, 90.00 degrees
Fractional positions:
K 0.000 0.000 0.000
Ge 0.500 0.500 0.500
As 0.000 0.000 0.500
As 0.000 0.500 0.000
As 0.500 0.000 0.000

--- b ---
This record from Alexandria describes an optimized crystal structure of KGeAs3. The functional is PBE.

Cell lengths 6.931, 5.460, 8.618 Å; angles 90.00, 95.54, 90.00 degrees
Fractional positions:
K 0.249 0.000 0.405
K 0.751 0.500 0.595
Ge 0.218 0.492 0.015
Ge 0.782 0.992 0.985
As 0.054 0.826 0.845
As 0.241 0.192 0.790
As 0.444 0.519 0.247
As 0.556 0.019 0.753
As 0.759 0.692 0.210
As 0.946 0.326 0.155

Energies relative to the most stable structure are a 172.8; b 0.0, reported in kJ/mol of atoms.

--- a ---
This record from Alexandria describes an optimized crystal structure of KRbGe2As. The functional is PBE.

Cell lengths 5.759, 5.759, 5.809 Å; angles 90.00, 90.00, 90.00 degrees
Fractional positions:
K 0.000 0.000 0.000
Rb 0.000 0.000 0.500
Ge 0.000 0.500 0.500
Ge 0.500 0.000 0.500
As 0.500 0.500 0.000

--- b ---
This record from Alexandria describes an optimized crystal structure of KRbGe2As. The functional is PBE.

Cell lengths 5.761, 5.761, 5.828 Å; angles 90.00, 90.00, 90.00 degrees
Fractional positions:
K 0.000 0.000 0.000
Rb 0.500 0.500 0.500
Ge 0.000 0.500 0.000
Ge 0.500 0.000 0.000
As 0.000 0.000 0.500

Energies relative to the most stable structure are a 32.6; b 0.0, reported in kJ/mol of atoms.

--- a ---
This record from Alexandria describes an optimized crystal structure of KGeAs2Se. The functional is PBE.

Cell lengths 5.381, 5.381, 5.519 Å; angles 90.00, 90.00, 90.00 degrees
Fractional positions:
K 0.000 0.000 0.000
Ge 0.500 0.500 0.500
As 0.000 0.500 0.000
As 0.500 0.000 0.000
Se 0.000 0.000 0.500

--- b ---
This record from Alexandria describes an optimized crystal structure of KGeAs2Se. The functional is PBE.

Cell lengths 5.076, 5.076, 5.348 Å; angles 90.00, 90.00, 90.00 degrees
Fractional positions:
K 0.000 0.000 0.000
Ge 0.500 0.500 0.500
As 0.000 0.500 0.500
As 0.500 0.000 0.500
Se 0.500 0.500 0.000

Energies relative to the most stable structure are a 120.8; b 0.0, reported in kJ/mol of atoms.

--- a ---
This record from Alexandria describes an optimized crystal structure of KGeAsSe2. The functional is PBE.

Cell lengths 5.261, 5.261, 4.992 Å; angles 90.00, 90.00, 90.00 degrees
Fractional positions:
K 0.000 0.000 0.000
Ge 0.500 0.500 0.500
As 0.500 0.500 0.000
Se 0.000 0.500 0.500
Se 0.500 0.000 0.500

--- b ---
This record from Alexandria describes an optimized crystal structure of KGeAsSe2. The functional is PBE.

Cell lengths 5.567, 5.567, 5.325 Å; angles 90.00, 90.00, 90.00 degrees
Fractional positions:
K 0.000 0.000 0.000
Ge 0.500 0.500 0.500
As 0.000 0.000 0.500
Se 0.000 0.500 0.000
Se 0.500 0.000 0.000

Energies relative to the most stable structure are a 0.0; b 121.3, reported in kJ/mol of atoms.

--- a ---
This record from Alexandria describes an optimized crystal structure of La4Ge2As. The functional is PBE.

Cell lengths 8.376, 8.376, 8.376 Å; angles 109.37, 109.37, 109.68 degrees
Fractional positions:
La 0.198 0.260 0.561
La 0.198 0.637 0.939
La 0.260 0.198 0.061
La 0.363 0.802 0.561
La 0.637 0.198 0.439
La 0.740 0.802 0.939
La 0.802 0.363 0.061
La 0.802 0.740 0.439
Ge 0.000 0.500 0.500
Ge 0.500 0.000 0.000
Ge 0.500 0.500 0.000
Ge 0.500 0.500 0.500
As 0.125 0.875 0.250
As 0.875 0.125 0.750

--- b ---
This record from Alexandria describes an optimized crystal structure of La4Ge2As. The functional is PBE.

Cell lengths 5.527, 5.527, 16.021 Å; angles 90.00, 90.00, 90.00 degrees
Fractional positions:
La 0.000 0.000 0.186
La 0.000 0.000 0.814
La 0.000 0.500 0.000
La 0.000 0.500 0.500
La 0.500 0.000 0.000
La 0.500 0.000 0.500
La 0.500 0.500 0.314
La 0.500 0.500 0.686
Ge 0.000 0.000 0.374
Ge 0.000 0.000 0.626
Ge 0.500 0.500 0.126
Ge 0.500 0.500 0.874
As 0.000 0.000 0.000
As 0.500 0.500 0.500

Energies relative to the most stable structure are a 0.0; b 27.4, reported in kJ/mol of atoms.

--- a ---
This record from Alexandria describes an optimized crystal structure of LiGe3As. The functional is PBE.

Cell lengths 5.107, 5.107, 5.107 Å; angles 90.00, 90.00, 90.00 degrees
Fractional positions:
Li 0.000 0.000 0.000
Ge 0.000 0.500 0.500
Ge 0.500 0.000 0.500
Ge 0.500 0.500 0.000
As 0.500 0.500 0.500

--- b ---
This record from Alexandria describes an optimized crystal structure of LiGe3As. The functional is PBE.

Cell lengths 4.619, 4.619, 4.619 Å; angles 90.00, 90.00, 90.00 degrees
Fractional positions:
Li 0.000 0.000 0.000
Ge 0.000 0.000 0.500
Ge 0.000 0.500 0.000
Ge 0.500 0.000 0.000
As 0.500 0.500 0.500

Energies relative to the most stable structure are a 6.8; b 0.0, reported in kJ/mol of atoms.

--- a ---
This record from Alexandria describes an optimized crystal structure of MgGeAsSe2. The functional is PBE.

Cell lengths 5.023, 5.023, 4.969 Å; angles 90.00, 90.00, 90.00 degrees
Fractional positions:
Mg 0.000 0.000 0.000
Ge 0.500 0.500 0.500
As 0.500 0.500 0.000
Se 0.000 0.500 0.500
Se 0.500 0.000 0.500

--- b ---
This record from Alexandria describes an optimized crystal structure of MgGeAsSe2. The functional is PBE.

Cell lengths 5.040, 5.040, 4.948 Å; angles 90.00, 90.00, 90.00 degrees
Fractional positions:
Mg 0.000 0.000 0.000
Ge 0.500 0.500 0.500
As 0.000 0.000 0.500
Se 0.000 0.500 0.000
Se 0.500 0.000 0.000

Energies relative to the most stable structure are a 0.0; b 10.4, reported in kJ/mol of atoms.

--- a ---
This record from Alexandria describes an optimized crystal structure of Mn2GeAs. The functional is PBE.

Cell lengths 3.872, 3.872, 16.520 Å; angles 90.00, 90.00, 90.00 degrees
Fractional positions:
Mn 0.244 0.250 0.125
Mn 0.250 0.744 0.375
Mn 0.250 0.756 0.875
Mn 0.256 0.250 0.625
Mn 0.744 0.750 0.625
Mn 0.750 0.244 0.875
Mn 0.750 0.256 0.375
Mn 0.756 0.750 0.125
Ge 0.000 0.000 0.500
Ge 0.000 0.500 0.750
Ge 0.500 0.000 0.250
Ge 0.500 0.500 0.000
As 0.000 0.000 0.000
As 0.000 0.500 0.250
As 0.500 0.000 0.750
As 0.500 0.500 0.500

--- b ---
This record from Alexandria describes an optimized crystal structure of Mn2GeAs. The functional is PBE.

Cell lengths 5.866, 5.866, 5.866 Å; angles 90.00, 90.00, 90.00 degrees
Fractional positions:
Mn 0.250 0.250 0.250
Mn 0.250 0.250 0.750
Mn 0.250 0.750 0.250
Mn 0.250 0.750 0.750
Mn 0.750 0.250 0.250
Mn 0.750 0.250 0.750
Mn 0.750 0.750 0.250
Mn 0.750 0.750 0.750
Ge 0.000 0.000 0.000
Ge 0.000 0.500 0.500
Ge 0.500 0.000 0.500
Ge 0.500 0.500 0.000
As 0.000 0.000 0.500
As 0.000 0.500 0.000
As 0.500 0.000 0.000
As 0.500 0.500 0.500

Energies relative to the most stable structure are a 14.4; b 0.0, reported in kJ/mol of atoms.

--- a ---
This record from Alexandria describes an optimized crystal structure of Ge3MoAs. The functional is PBE.

Cell lengths 4.792, 4.792, 4.792 Å; angles 90.00, 90.00, 90.00 degrees
Fractional positions:
Ge 0.000 0.000 0.500
Ge 0.000 0.500 0.000
Ge 0.500 0.000 0.000
Mo 0.500 0.500 0.500
As 0.000 0.000 0.000

--- b ---
This record from Alexandria describes an optimized crystal structure of Ge3MoAs. The functional is PBE.

Cell lengths 4.899, 4.899, 4.899 Å; angles 90.00, 90.00, 90.00 degrees
Fractional positions:
Ge 0.000 0.000 0.500
Ge 0.000 0.500 0.000
Ge 0.500 0.000 0.000
Mo 0.000 0.000 0.000
As 0.500 0.500 0.500

Energies relative to the most stable structure are a 78.7; b 0.0, reported in kJ/mol of atoms.